The following is a DFT calculation (PBE) of a geometry-optimized CdFeBiMo structure.

abc: 6.633 6.633 6.633
angles: 90.00 90.00 90.00
Positions (direct):
Cd (0.000, 0.000, 0.000)
Cd (0.000, 0.500, 0.500)
Cd (0.500, 0.000, 0.500)
Cd (0.500, 0.500, 0.000)
Fe (0.250, 0.250, 0.750)
Fe (0.250, 0.750, 0.250)
Fe (0.750, 0.250, 0.250)
Fe (0.750, 0.750, 0.750)
Bi (0.000, 0.000, 0.500)
Bi (0.000, 0.500, 0.000)
Bi (0.500, 0.000, 0.000)
Bi (0.500, 0.500, 0.500)
Mo (0.250, 0.250, 0.250)
Mo (0.250, 0.750, 0.750)
Mo (0.750, 0.250, 0.750)
Mo (0.750, 0.750, 0.250)

## Properties
Energy (eV per cell): -84.5
Magnetization (μB per atom): 0.5972